(1)
Here is a relaxed structure of Cr2FeRu from Alexandria via LeMat-Bulk. Energies are from PBE-GGA.

```
data_Cr2FeRu
_symmetry_space_group_name_H-M 'P 1'
_symmetry_Int_Tables_number 1
_symmetry_space_group_name_Hall 'P 1'
_cell_length_a 4.114
_cell_length_b 4.114
_cell_length_c 4.114
_cell_angle_alpha 60.00
_cell_angle_beta 60.00
_cell_angle_gamma 60.00
loop_
_atom_site_label
_atom_site_fract_x
_atom_site_fract_y
_atom_site_fract_z
_atom_site_occupancy
Fe1 0.000 0.000 0.000 1
Ru1 0.500 0.500 0.500 1
Cr1 0.750 0.750 0.750 1
Cr2 0.250 0.250 0.250 1
```

Calculated values
ΔE to the lowest computed polymorph (eV/atom): 0.075

***

(2)
Here is a relaxed structure of CrFeRu2 from Alexandria via LeMat-Bulk. Energies are from PBE-GGA.

```
data_CrFeRu2
_symmetry_space_group_name_H-M 'P 1'
_symmetry_Int_Tables_number 1
_symmetry_space_group_name_Hall 'P 1'
_cell_length_a 2.597
_cell_length_b 2.597
_cell_length_c 8.535
_cell_angle_alpha 90.00
_cell_angle_beta 90.00
_cell_angle_gamma 113.72
loop_
_atom_site_label
_atom_site_fract_x
_atom_site_fract_y
_atom_site_fract_z
_atom_site_occupancy
Cr1 0.000 0.000 0.506 1
Fe1 0.500 0.500 0.740 1
Ru1 0.500 0.500 0.264 1
Ru2 0.000 0.000 0.989 1
```

***

(3)
Here is a relaxed structure of CrFeRu2 from Alexandria via LeMat-Bulk. Energies are from PBE-GGA.

```
data_CrFeRu2
_symmetry_space_group_name_H-M 'P 1'
_symmetry_Int_Tables_number 1
_symmetry_space_group_name_Hall 'P 1'
_cell_length_a 8.705
_cell_length_b 8.705
_cell_length_c 8.705
_cell_angle_alpha 17.52
_cell_angle_beta 17.52
_cell_angle_gamma 17.52
loop_
_atom_site_label
_atom_site_fract_x
_atom_site_fract_y
_atom_site_fract_z
_atom_site_occupancy
Cr1 0.250 0.250 0.250 1
Fe1 0.750 0.750 0.750 1
Ru1 0.998 0.998 0.998 1
Ru2 0.502 0.502 0.502 1
```

***

Computed ΔH_f (0 K) (meV/atom) in order:
190, 334, 147
Computed total energy (eV/atom) in order:
-9.06, -8.83, -9.01